# 1
The following is a DFT calculation (meta-GGA SCAN) of Ca2LaAlCr at its PBEsol-relaxed geometry.

Unit cell a=5.6490 b=5.6490 c=4.9652 alpha=90.00 beta=90.00 gamma=90.00
Positions (direct):
Ca 0.0000 0.5000 0.0000
Ca 0.5000 0.0000 0.0000
La 0.0000 0.0000 0.5000
Al 0.5000 0.5000 0.0000
Cr 0.5000 0.5000 0.5000

Values from the calculation:
Fermi-level density of states	4.3	states/eV/cell
size of the total moment	3.944	μB per cell
calculated formation energy	34.87	kJ per mole of atoms
V	158.4	Å³/cell
SG	No. 123

=====

# 2
The following is a DFT calculation (meta-GGA SCAN) of Ca4Al6CrO16 at its PBEsol-relaxed geometry.

Unit cell a=8.0521 b=8.0521 c=8.0521 alpha=109.95 beta=109.95 gamma=108.52
Positions (direct):
Ca 0.1816 0.7131 0.9447
Ca 0.2869 0.2317 0.4685
Ca 0.7631 0.8184 0.5315
Ca 0.7683 0.2369 0.0553
Al 0.0000 0.0000 0.0000
Al 0.2410 0.5033 0.2344
Al 0.2689 0.0066 0.7656
Al 0.4967 0.7311 0.7377
Al 0.5000 0.5000 0.0000
Al 0.9934 0.7590 0.2623
Cr 0.7500 0.2500 0.5000
O 0.0373 0.5537 0.1863
O 0.0638 0.8803 0.1343
O 0.0705 0.9362 0.8164
O 0.1197 0.2540 0.1836
O 0.1490 0.9627 0.5163
O 0.3344 0.5534 0.0791
O 0.3674 0.8510 0.8137
O 0.4463 0.6326 0.4837
O 0.4466 0.5257 0.7810
O 0.4743 0.2553 0.9209
O 0.5046 0.1660 0.3720
O 0.7447 0.6656 0.2190
O 0.7460 0.9295 0.8657
O 0.7940 0.1326 0.6280
O 0.8340 0.2060 0.3387
O 0.8674 0.4954 0.6613

Values from the calculation:
Fermi-level density of states	0.0	states/eV/cell
size of the total moment	0.000	μB per cell
V	401.8	Å³/cell
energy relative to the elements, uncorrected	-3.168	eV/atom
SG	No. 82

=====

# 3
The following is a DFT calculation (meta-GGA SCAN) of CsCaTaAl2 at its PBEsol-relaxed geometry.

Unit cell a=5.4147 b=5.4147 c=5.6094 alpha=90.00 beta=90.00 gamma=90.00
Positions (direct):
Cs 0.0000 0.0000 0.0000
Ca 0.0000 0.0000 0.5000
Ta 0.5000 0.5000 0.0000
Al 0.0000 0.5000 0.5000
Al 0.5000 0.0000 0.5000

Values from the calculation:
Fermi-level density of states	7.5	states/eV/cell
size of the total moment	2.752	μB per cell
calculated formation energy	197.02	kJ per mole of atoms
V	164.5	Å³/cell
SG	No. 123

=====

# 4
The following is a DFT calculation (meta-GGA SCAN) of CaAl2Cu at its PBEsol-relaxed geometry.

Unit cell a=4.6293 b=4.6293 c=4.6293 alpha=60.00 beta=60.00 gamma=60.00
Positions (direct):
Ca 0.0000 0.0000 0.0000
Al 0.2500 0.2500 0.2500
Al 0.5000 0.5000 0.5000
Cu 0.7500 0.7500 0.7500

Values from the calculation:
Fermi-level density of states	0.9	states/eV/cell
size of the total moment	0.000	μB per cell
calculated formation energy	-8.39	kJ per mole of atoms
V	70.1	Å³/cell
SG	No. 216